No. 1
Entry from Alexandria via LeMat-Bulk: crystalline Tc3Au at its relaxed geometry (PBE).

Summary:
DOS at the Fermi energy ... 2.776 states/eV/f.u.
Energy relative to the elements ... 0.222 eV/atom
Crystal system ... monoclinic

abc: 4.838 4.838 4.815
angles: 100.39 100.39 33.80
Atoms (fractional coordinates):
1 Tc 0.000 0.000 0.000
2 Tc 0.257 0.257 0.780
3 Tc 0.743 0.743 0.220
4 Au 0.500 0.500 0.500

No. 2
Entry from Alexandria via LeMat-Bulk: crystalline TcAu5 at its relaxed geometry (PBE).

Summary:
DOS at the Fermi energy ... 4.039 states/eV/f.u.
Energy relative to the elements ... 0.234 eV/atom
Excess energy over the best structure of this formula in the dataset ... 0 meV per atom
Crystal system ... monoclinic

abc: 5.788 5.788 6.882
angles: 105.59 105.59 28.36
Atoms (fractional coordinates):
1 Tc 0.000 0.000 0.000
2 Au 0.290 0.290 0.058
3 Au 0.333 0.333 0.668
4 Au 0.610 0.610 0.739
5 Au 0.664 0.664 0.322
6 Au 0.950 0.950 0.393

No. 3
Entry from Alexandria via LeMat-Bulk: crystalline Tc5Au3 at its relaxed geometry (PBE).

Summary:
DOS at the Fermi energy ... 6.284 states/eV/f.u.
Energy relative to the elements ... 0.361 eV/atom
Excess energy over the best structure of this formula in the dataset ... 0 meV per atom
Crystal system ... monoclinic

abc: 7.650 7.650 7.929
angles: 95.05 95.05 142.71
Atoms (fractional coordinates):
1 Tc 0.070 0.782 0.829
2 Tc 0.218 0.930 0.171
3 Tc 0.231 0.404 0.715
4 Tc 0.272 0.272 0.051
5 Tc 0.404 0.231 0.715
6 Tc 0.596 0.769 0.285
7 Tc 0.728 0.728 0.949
8 Tc 0.769 0.596 0.285
9 Tc 0.782 0.070 0.829
10 Tc 0.930 0.218 0.171
11 Au 0.215 0.215 0.398
12 Au 0.290 0.710 0.500
13 Au 0.307 0.693 0.000
14 Au 0.693 0.307 0.000
15 Au 0.710 0.290 0.500
16 Au 0.785 0.785 0.602

| no. | energy (Ry/atom) |
| --- | --- |
| 1 | -0.61532 |
| 2 | -0.31055 |
| 3 | -0.54000 |